[1]
# PBE GePtI2, optimized geometry
# Energy above the lowest structure with this stoichiometry ... 196 meV/atom
# Uncorrected energy ... -2.87 eV per atom
# Energy relative to the elements, uncorrected ... 0.5668 eV/atom
# N(E_F) ... 0.463 states/eV per atom
data_GePtI2
_symmetry_space_group_name_H-M 'P 1'
_symmetry_Int_Tables_number 1
_symmetry_space_group_name_Hall 'P 1'
_cell_length_a 5.1730
_cell_length_b 5.1730
_cell_length_c 5.1730
_cell_angle_alpha 60.00
_cell_angle_beta 60.00
_cell_angle_gamma 60.00
loop_
_atom_site_label
_atom_site_fract_x
_atom_site_fract_y
_atom_site_fract_z
Ge1 0.0000 0.0000 0.0000
Pt1 0.5000 0.5000 0.5000
I1 0.2500 0.2500 0.2500
I2 0.7500 0.7500 0.7500

[2]
# PBE Ge3PtI, optimized geometry
# Energy above the lowest structure with this stoichiometry ... 0 meV/atom
# Uncorrected energy ... -4.06 eV per atom
# Energy relative to the elements, uncorrected ... 0.2308 eV/atom
# N(E_F) ... 0.771 states/eV per atom
data_Ge3PtI
_symmetry_space_group_name_H-M 'P 1'
_symmetry_Int_Tables_number 1
_symmetry_space_group_name_Hall 'P 1'
_cell_length_a 5.0085
_cell_length_b 5.0085
_cell_length_c 5.0085
_cell_angle_alpha 90.00
_cell_angle_beta 90.00
_cell_angle_gamma 90.00
loop_
_atom_site_label
_atom_site_fract_x
_atom_site_fract_y
_atom_site_fract_z
Ge1 0.0000 0.0000 0.5000
Ge2 0.0000 0.5000 0.0000
Ge3 0.5000 0.0000 0.0000
Pt1 0.0000 0.0000 0.0000
I1 0.5000 0.5000 0.5000

[3]
# PBE Rb2GePtI6, optimized geometry
# Uncorrected energy ... -2.84 eV per atom
# Energy relative to the elements, uncorrected ... -0.6516 eV/atom
# N(E_F) ... 0.395 states/eV per atom
data_Rb2GePtI6
_symmetry_space_group_name_H-M 'P 1'
_symmetry_Int_Tables_number 1
_symmetry_space_group_name_Hall 'P 1'
_cell_length_a 8.1772
_cell_length_b 8.1772
_cell_length_c 8.1772
_cell_angle_alpha 120.11
_cell_angle_beta 120.11
_cell_angle_gamma 89.81
loop_
_atom_site_label
_atom_site_fract_x
_atom_site_fract_y
_atom_site_fract_z
Rb1 0.2500 0.7500 0.5000
Rb2 0.7500 0.2500 0.5000
Ge1 0.0000 0.0000 0.0000
Pt1 0.5000 0.5000 0.0000
I1 0.2567 0.2567 0.0000
I2 0.2572 0.2572 0.5143
I3 0.2572 0.7428 0.0000
I4 0.7428 0.2572 0.0000
I5 0.7433 0.7433 0.0000
I6 0.7428 0.7428 0.4857

[4]
# PBE GeSbPtI2, optimized geometry
# Energy above the lowest structure with this stoichiometry ... 528 meV/atom
# Uncorrected energy ... -2.59 eV per atom
# Energy relative to the elements, uncorrected ... 0.9856 eV/atom
# N(E_F) ... 1.204 states/eV per atom
data_GeSbPtI2
_symmetry_space_group_name_H-M 'P 1'
_symmetry_Int_Tables_number 1
_symmetry_space_group_name_Hall 'P 1'
_cell_length_a 5.4393
_cell_length_b 5.4393
_cell_length_c 5.5666
_cell_angle_alpha 90.00
_cell_angle_beta 90.00
_cell_angle_gamma 90.00
loop_
_atom_site_label
_atom_site_fract_x
_atom_site_fract_y
_atom_site_fract_z
Ge1 0.0000 0.0000 0.0000
Sb1 0.0000 0.0000 0.5000
Pt1 0.5000 0.5000 0.5000
I1 0.0000 0.5000 0.0000
I2 0.5000 0.0000 0.0000

[5]
# PBE GeSbPtI2, optimized geometry
# Energy above the lowest structure with this stoichiometry ... 0 meV/atom
# Uncorrected energy ... -3.12 eV per atom
# Energy relative to the elements, uncorrected ... 0.4578 eV/atom
# N(E_F) ... 0.835 states/eV per atom
data_GeSbPtI2
_symmetry_space_group_name_H-M 'P 1'
_symmetry_Int_Tables_number 1
_symmetry_space_group_name_Hall 'P 1'
_cell_length_a 5.4870
_cell_length_b 5.4870
_cell_length_c 5.2419
_cell_angle_alpha 90.00
_cell_angle_beta 90.00
_cell_angle_gamma 90.00
loop_
_atom_site_label
_atom_site_fract_x
_atom_site_fract_y
_atom_site_fract_z
Ge1 0.0000 0.0000 0.0000
Sb1 0.5000 0.5000 0.0000
Pt1 0.5000 0.5000 0.5000
I1 0.0000 0.5000 0.5000
I2 0.5000 0.0000 0.5000

[6]
# PBE GePtSe2I, optimized geometry
# Uncorrected energy ... -3.42 eV per atom
# Energy relative to the elements, uncorrected ... 0.4182 eV/atom
# N(E_F) ... 0.843 states/eV per atom
data_GePtSe2I
_symmetry_space_group_name_H-M 'P 1'
_symmetry_Int_Tables_number 1
_symmetry_space_group_name_Hall 'P 1'
_cell_length_a 4.9919
_cell_length_b 4.9919
_cell_length_c 5.4196
_cell_angle_alpha 90.00
_cell_angle_beta 90.00
_cell_angle_gamma 90.00
loop_
_atom_site_label
_atom_site_fract_x
_atom_site_fract_y
_atom_site_fract_z
Ge1 0.0000 0.0000 0.0000
Pt1 0.5000 0.5000 0.5000
Se1 0.0000 0.5000 0.5000
Se2 0.5000 0.0000 0.5000
I1 0.5000 0.5000 0.0000